Entry from Alexandria: a relaxed LaMgTaFeO6 crystal (PBE+U).

```
20
Lattice="5.4535 0.0000 0.0000 0.0000 5.6052 0.0000 -5.4244 0.0000 8.1038" Properties=species:S:1:pos:R:3 pbc="T T T"
La 0.0000 1.1745 0.0000
La -2.7122 4.4307 4.0519
Mg -0.0447 1.6859 4.3632
Mg 2.6675 3.9192 0.3113
Ta -2.7651 1.3829 6.0643
Ta -0.0529 4.2223 2.0124
Fe 2.6863 1.4142 2.0599
Fe -0.0259 4.1910 6.1118
O -0.9110 0.3352 2.6126
O -3.6232 5.2699 6.6645
O 1.0858 2.7346 1.3571
O -1.6264 2.8705 5.4090
O -1.0925 0.2951 5.6036
O 1.6197 5.3101 1.5517
O -2.2651 1.8457 7.9183
O 0.4471 3.7595 3.8664
O 1.9578 1.1143 4.1683
O 4.6700 4.4909 0.1165
O 1.0125 2.4195 6.3007
O 3.7247 3.1857 2.2488
```

Computed properties:
Space-group type: No. 7
Total moment (μB/cell): 8.00
Uncorrected energy (eV/atom): -8.0662